## MoPb3 (PBE)

Data for MoPb3 after structural relaxation.

Output
Magnetization, μB per atom: 0.000
Excess energy over the best structure of this formula in the dataset, kJ/mol of formula units: 30
Formation enthalpy at 0 K, meV/atom: 536
E, eV/atom: -4.953

Cell lengths 3.8058, 5.2053, 10.6404 Å; angles 90.00, 90.00, 90.00 degrees
Space group Cmmm (No. 65)
Asymmetric unit:
Mo 0.0000 0.0000 0.0000 (multiplicity 2)
Pb 0.0000 0.0000 0.5000 (multiplicity 2)
Pb 0.0000 0.5000 0.2057 (multiplicity 4)